1.
DFT (PBE-GGA) results for a relaxed structure of YHoTeC.

Output
E in eV/atom: -6.73
Total moment in μB/cell: 0.0

Geometry as CIF:
```
data_YHoTeC
_chemical_formula_sum 'Y2 Ho2 Te2 C2'
_cell_length_a 3.827
_cell_length_b 3.827
_cell_length_c 13.991
_cell_angle_alpha 90.00
_cell_angle_beta 90.00
_cell_angle_gamma 120.00
_symmetry_space_group_name_H-M 'P 1'
_symmetry_Int_Tables_number 1
loop_
_symmetry_equiv_pos_as_xyz
'x,y,z'
loop_
_atom_site_label
_atom_site_fract_x
_atom_site_fract_y
_atom_site_fract_z
C1 0.000 0.000 0.000
C2 0.000 0.000 0.500
Y1 0.667 0.333 0.906
Y2 0.333 0.667 0.094
Ho1 0.333 0.667 0.407
Ho2 0.667 0.333 0.593
Te1 0.333 0.667 0.749
Te2 0.667 0.333 0.251
```



2.
DFT (PBE-GGA) results for a relaxed structure of Al2Cu2Te3S.

Output
E in eV/atom: -3.99

Geometry as CIF:
```
data_Al2Cu2Te3S
_chemical_formula_sum 'Al2 Cu2 Te3 S1'
_cell_length_a 7.138
_cell_length_b 7.138
_cell_length_c 5.896
_cell_angle_alpha 113.88
_cell_angle_beta 113.88
_cell_angle_gamma 48.72
_symmetry_space_group_name_H-M 'P 1'
_symmetry_Int_Tables_number 1
loop_
_symmetry_equiv_pos_as_xyz
'x,y,z'
loop_
_atom_site_label
_atom_site_fract_x
_atom_site_fract_y
_atom_site_fract_z
Cu1 0.421 0.351 0.161
Cu2 0.649 0.579 0.839
Al1 0.965 0.800 0.612
Al2 0.200 0.035 0.388
Te1 0.562 0.939 0.240
Te2 0.806 0.194 0.000
Te3 0.061 0.438 0.760
S1 0.307 0.693 0.500
```



3.
DFT (PBE-GGA) results for a relaxed structure of Zr4Ta2Ni3N3.

Output
E in eV/atom: -9.11
Total moment in μB/cell: 0.0

Geometry as CIF:
```
data_Zr4Ta2Ni3N3
_chemical_formula_sum 'Zr8 Ta4 Ni6 N6'
_cell_length_a 5.553
_cell_length_b 5.553
_cell_length_c 13.264
_cell_angle_alpha 102.14
_cell_angle_beta 102.14
_cell_angle_gamma 59.94
_symmetry_space_group_name_H-M 'P 1'
_symmetry_Int_Tables_number 1
loop_
_symmetry_equiv_pos_as_xyz
'x,y,z'
loop_
_atom_site_label
_atom_site_fract_x
_atom_site_fract_y
_atom_site_fract_z
Zr1 0.040 0.198 0.611
Zr2 0.960 0.802 0.389
Zr3 0.123 0.299 0.889
Zr4 0.701 0.877 0.611
Zr5 0.802 0.960 0.889
Zr6 0.877 0.701 0.111
Zr7 0.299 0.123 0.389
Zr8 0.198 0.040 0.111
N1 0.166 0.668 0.000
N2 0.332 0.834 0.500
N3 0.668 0.166 0.500
N4 0.500 0.000 0.000
N5 0.834 0.332 0.000
N6 0.000 0.500 0.500
Ni1 0.320 0.413 0.251
Ni2 0.587 0.680 0.249
Ni3 0.413 0.320 0.751
Ni4 0.148 0.852 0.750
Ni5 0.852 0.148 0.250
Ni6 0.680 0.587 0.749
Ta1 0.528 0.354 0.083
Ta2 0.472 0.646 0.917
Ta3 0.646 0.472 0.417
Ta4 0.354 0.528 0.583
```



4.
DFT (PBE-GGA) results for a relaxed structure of Pm2ZnAg3.

Output
E in eV/atom: -3.51
Calculated formation energy in eV/atom: -0.309
Total moment in μB/cell: 0.0

Geometry as CIF:
```
data_Pm2ZnAg3
_chemical_formula_sum 'Pm4 Zn2 Ag6'
_cell_length_a 9.555
_cell_length_b 8.970
_cell_length_c 5.903
_cell_angle_alpha 76.90
_cell_angle_beta 66.11
_cell_angle_gamma 36.99
_symmetry_space_group_name_H-M 'P 1'
_symmetry_Int_Tables_number 1
loop_
_symmetry_equiv_pos_as_xyz
'x,y,z'
loop_
_atom_site_label
_atom_site_fract_x
_atom_site_fract_y
_atom_site_fract_z
Zn1 0.334 0.334 0.666
Zn2 0.666 0.666 0.334
Ag1 0.341 0.829 0.171
Ag2 0.829 0.341 0.659
Ag3 0.830 0.830 0.170
Ag4 0.170 0.170 0.830
Ag5 0.171 0.659 0.341
Ag6 0.659 0.171 0.829
Pm1 0.247 0.753 0.753
Pm2 0.250 0.250 0.250
Pm3 0.753 0.247 0.247
Pm4 0.750 0.750 0.750
```



5.
DFT (PBE-GGA) results for a relaxed structure of BW4N7.

Output
E in eV/atom: -9.97
Total moment in μB/cell: 0.0

Geometry as CIF:
```
data_BW4N7
_chemical_formula_sum 'B2 W8 N14'
_cell_length_a 7.523
_cell_length_b 7.523
_cell_length_c 4.999
_cell_angle_alpha 90.00
_cell_angle_beta 90.00
_cell_angle_gamma 120.00
_symmetry_space_group_name_H-M 'P 1'
_symmetry_Int_Tables_number 1
loop_
_symmetry_equiv_pos_as_xyz
'x,y,z'
loop_
_atom_site_label
_atom_site_fract_x
_atom_site_fract_y
_atom_site_fract_z
B1 0.667 0.333 0.934
B2 0.333 0.667 0.434
W1 0.135 0.430 0.999
W2 0.000 0.000 0.016
W3 0.000 0.000 0.516
W4 0.295 0.865 0.999
W5 0.570 0.705 0.999
W6 0.865 0.570 0.499
W7 0.705 0.135 0.499
W8 0.430 0.295 0.499
N1 0.122 0.626 0.300
N2 0.496 0.122 0.800
N3 0.952 0.197 0.275
N4 0.197 0.245 0.775
N5 0.878 0.374 0.800
N6 0.245 0.048 0.275
N7 0.374 0.496 0.300
N8 0.626 0.504 0.800
N9 0.333 0.667 0.736
N10 0.504 0.878 0.300
N11 0.803 0.755 0.275
N12 0.755 0.952 0.775
N13 0.667 0.333 0.236
N14 0.048 0.803 0.775
```



6.
DFT (PBE-GGA) results for a relaxed structure of SmYAg2Sn2.

Output
E in eV/atom: -4.76
Total moment in μB/cell: 0.0

Geometry as CIF:
```
data_SmYAg2Sn2
_chemical_formula_sum 'Sm1 Y1 Ag2 Sn2'
_cell_length_a 4.751
_cell_length_b 4.751
_cell_length_c 7.433
_cell_angle_alpha 90.00
_cell_angle_beta 90.00
_cell_angle_gamma 120.00
_symmetry_space_group_name_H-M 'P 1'
_symmetry_Int_Tables_number 1
loop_
_symmetry_equiv_pos_as_xyz
'x,y,z'
loop_
_atom_site_label
_atom_site_fract_x
_atom_site_fract_y
_atom_site_fract_z
Sm1 0.000 0.000 0.259
Sn1 0.667 0.333 0.037
Sn2 0.333 0.667 0.541
Ag1 0.667 0.333 0.454
Ag2 0.333 0.667 0.949
Y1 0.000 0.000 0.760
```